The following is a DFT calculation (GGA-PBE) of a relaxed NaPmTh2Bi4 crystal.

Cell: 4.6214 8.0228 7.9371 Å, 109.25 90.00 90.00°
Last column: nearest neighbours and their distance in Å.
Fractional coordinates of all 8 atoms:
Na  0.5000  0.5000  0.0000  6 Bi 3.24-3.29
Pm  0.0000  0.0000  0.0000  6 Bi 3.27
Th  0.5000  0.0000  0.5000  6 Bi 3.24-3.27
Th  0.0000  0.5000  0.5000  6 Bi 3.24-3.27
Bi  0.5000  0.2511  0.2493  1 Na 3.24, 3 Th 3.27, 2 Pm 3.27
Bi  0.5000  0.7489  0.7507  1 Na 3.24, 3 Th 3.27, 2 Pm 3.27
Bi  0.0000  0.2477  0.7450  3 Th 3.24, 1 Pm 3.27, 2 Na 3.29
Bi  0.0000  0.7523  0.2550  3 Th 3.24, 1 Pm 3.27, 2 Na 3.29

**ΔH_f (0 K)**: -0.594 eV/atom
**Magnetization**: 0.0 μB/cell
**Crystal system**: monoclinic
**SG**: P2/m, No. 10